(1)
The following is a GGA-PBE calculation of a relaxed structure of Fe4Ni15Sn, from Alexandria via LeMat-Bulk.

ΔE_f: -0.09 eV per atom
E: -126.44 eV/cell
Volume: 230.0 Å³ per cell
Density of states at the Fermi level: 14.55 states/eV per cell
Symmetry: No. 123
Density: 8.828 g/cm3

The structure in POSCAR format:
```
Fe4Ni15Sn
1.0
3.5925 0.0000 0.0000
0.0000 3.5925 0.0000
0.0000 0.0000 17.8175
Fe Ni Sn
4 15 1
Cartesian
0.0000 0.0000 1.7460 Fe
0.0000 0.0000 5.2322 Fe
0.0000 0.0000 12.5853 Fe
0.0000 0.0000 16.0715 Fe
0.0000 1.7963 0.0000 Ni
0.0000 1.7963 3.4820 Ni
0.0000 1.7963 6.9471 Ni
0.0000 1.7963 10.8704 Ni
0.0000 1.7963 14.3356 Ni
1.7963 0.0000 0.0000 Ni
1.7963 0.0000 3.4820 Ni
1.7963 0.0000 6.9471 Ni
1.7963 0.0000 10.8704 Ni
1.7963 0.0000 14.3356 Ni
1.7963 1.7963 1.7443 Ni
1.7963 1.7963 5.2299 Ni
1.7963 1.7963 8.9088 Ni
1.7963 1.7963 12.5876 Ni
1.7963 1.7963 16.0733 Ni
0.0000 0.0000 8.9088 Sn
```

=====

(2)
The following is a GGA-PBE calculation of a relaxed structure of Fe3NiSn, from Alexandria via LeMat-Bulk.

ΔE_f: 0.71 eV per atom
Energy above the lowest structure with this stoichiometry: 0 meV/atom
E: -31.61 eV/cell
Volume: 86.9 Å³ per cell
Density of states at the Fermi level: 4.04 states/eV per cell
Symmetry: No. 221
Density: 6.591 g/cm3

The structure in POSCAR format:
```
Fe3NiSn
1.0
4.4294 0.0000 0.0000
0.0000 4.4294 0.0000
0.0000 0.0000 4.4294
Fe Ni Sn
3 1 1
Cartesian
0.0000 0.0000 2.2147 Fe
0.0000 2.2147 0.0000 Fe
2.2147 0.0000 0.0000 Fe
0.0000 0.0000 0.0000 Ni
2.2147 2.2147 2.2147 Sn
```

=====

What is the formula in the first record? Fe4Ni15Sn

=====

Look up the E of the first one. -126.44 eV/cell

=====

The highest volume belongs to which entry? Fe4Ni15Sn